Compound: MnIr2O6
Source: Alexandria
Functional: PBE+U
Structure: relaxed

Cell and atoms, written as POSCAR:
```
MnIr2O6
1.0
-4.309 -0.517 0.408
-0.197 -4.313 -7.549
1.223 -4.322 7.447
O Ir Mn
18 6 3
Direct
0.762 0.898 0.116
0.247 0.113 0.573
0.238 0.116 0.898
0.247 0.460 0.887
0.263 0.446 0.215
0.753 0.573 0.113
0.737 0.231 0.785
0.737 0.554 0.769
0.762 0.218 0.102
0.753 0.540 0.427
0.238 0.782 0.884
0.263 0.769 0.554
0.263 0.785 0.231
0.737 0.215 0.446
0.238 0.102 0.218
0.753 0.887 0.460
0.247 0.427 0.540
0.762 0.884 0.782
0.000 0.653 0.653
0.500 0.319 0.319
0.000 0.000 0.347
0.500 0.681 0.000
0.500 0.000 0.681
0.000 0.347 0.000
0.000 0.000 0.000
0.506 0.667 0.333
0.494 0.333 0.667
```

Output
SG   No. 150
Crystal system   trigonal
Magnetization   4.128 μB per cell
VASP energy   -7.02 eV/atom